[1]
Material: TaCo2HRu
Method: DFT, PBE-GGA
State: optimized geometry

abc: 3.7393 3.7393 3.8496
angles: 90.00 90.00 90.00
Closest atoms and distances in Å follow each position.
Sites, in units of the cell vectors:
Ru 0.0000 0.0000 0.5000  2 H 1.92
Co 0.5000 0.0000 0.0000  2 H 1.87
Ta 0.5000 0.5000 0.5000  4 Ru 2.64, 8 Co 2.68
Co 0.0000 0.5000 0.0000  2 H 1.87
H 0.0000 0.0000 0.0000  4 Co 1.87, 2 Ru 1.92

Calculated values
Calculated total energy (eV per atom): -7.970
ρ (Mg/m³): 12.367
Excess energy over the best structure of this formula in the dataset (meV/atom): 0
Total magnetic moment (μB/cell): 0.00

---

[2]
Material: Co2TcHRu
Method: DFT, PBE-GGA
State: optimized geometry

abc: 3.6815 3.6815 3.8152
angles: 90.00 90.00 90.00
Closest atoms and distances in Å follow each position.
Sites, in units of the cell vectors:
H 0.0000 0.0000 0.0000  4 Co 1.84, 2 Tc 1.91
Ru 0.5000 0.5000 0.5000  4 Tc 2.60, 8 Co 2.65
Tc 0.0000 0.0000 0.5000  2 H 1.91
Co 0.5000 0.0000 0.0000  2 H 1.84
Co 0.0000 0.5000 0.0000  2 H 1.84

Calculated values
Calculated total energy (eV per atom): -7.326
ρ (Mg/m³): 10.210
Excess energy over the best structure of this formula in the dataset (meV/atom): 3
Total magnetic moment (μB/cell): 1.51

---

[3]
Material: Co2TcHRu
Method: DFT, PBE-GGA
State: optimized geometry

abc: 3.6989 3.6989 3.7728
angles: 90.00 90.00 90.00
Closest atoms and distances in Å follow each position.
Sites, in units of the cell vectors:
Co 0.0000 0.5000 0.0000  2 H 1.85
H 0.0000 0.0000 0.0000  4 Co 1.85, 2 Ru 1.89
Ru 0.0000 0.0000 0.5000  2 H 1.89
Tc 0.5000 0.5000 0.5000  4 Ru 2.62, 8 Co 2.64
Co 0.5000 0.0000 0.0000  2 H 1.85

Calculated values
Calculated total energy (eV per atom): -7.330
ρ (Mg/m³): 10.228
Excess energy over the best structure of this formula in the dataset (meV/atom): 0
Total magnetic moment (μB/cell): 1.51